a) Compound: Li2NiBr
Source: Alexandria
Functional: GGA-PBE
Structure: optimized geometry

space-group type: No. 44

Cell: 6.032 6.032 6.032 Å, 149.22 142.07 49.62°
Sites, in units of the cell vectors:
Br: 0.704 0.204 0.500
Li: 0.979 0.979 0.000
Li: 0.295 0.795 0.500
Ni: 0.522 0.522 0.000

---

b) Compound: Li2NiBr
Source: Alexandria
Functional: GGA-PBE
Structure: optimized geometry

space-group type: No. 122

Cell: 6.999 6.999 5.661 Å, 51.82 51.82 90.00°
Sites, in units of the cell vectors:
Ni: 0.500 0.500 0.000
Ni: 0.250 0.750 0.500
Br: 0.000 0.000 0.000
Br: 0.750 0.250 0.500
Li: 0.628 0.125 0.250
Li: 0.122 0.625 0.250
Li: 0.375 0.372 0.750
Li: 0.875 0.878 0.750

---

Which of them is most stable? Easy: a).

---

a) Compound: Li2NiBr
Source: Alexandria
Functional: GGA-PBE
Structure: optimized geometry

space-group type: No. 225

Cell: 4.546 4.546 4.546 Å, 60.00 60.00 60.00°
Each line ends with the local moment (μB).
Sites, in units of the cell vectors:
Ni: 0.000 0.000 0.000  0.55
Br: 0.500 0.500 0.500  0.05
Li: 0.250 0.250 0.250  0.00
Li: 0.750 0.750 0.750  0.00

---

b) Compound: Li2NiBr
Source: Alexandria
Functional: GGA-PBE
Structure: optimized geometry

space-group type: No. 10

Cell: 3.332 3.325 6.467 Å, 58.97 90.00 90.00°
Sites, in units of the cell vectors:
Br: 0.500 0.750 0.750
Li: 0.000 0.986 0.014
Li: 0.000 0.514 0.486
Ni: 0.500 0.250 0.250

---

Which of them is most stable? Easy: b).

---

a) Compound: Li2NiBr
Source: Alexandria
Functional: GGA-PBE
Structure: optimized geometry

space-group type: No. 12

Cell: 3.369 3.369 7.386 Å, 76.71 76.71 60.07°
Each line ends with the local moment (μB).
Sites, in units of the cell vectors:
Br: 0.250 0.250 0.250  0.00
Li: 0.995 0.995 0.014  -0.01
Li: 0.505 0.505 0.486  -0.01
Ni: 0.750 0.750 0.750  0.50

---

b) Compound: Li2NiBr
Source: Alexandria
Functional: GGA-PBE
Structure: optimized geometry

space-group type: No. 139

Cell: 4.643 4.643 4.643 Å, 125.30 125.30 81.04°
Each line ends with the local moment (μB).
Sites, in units of the cell vectors:
Br: 0.750 0.250 0.500  0.00
Li: 0.000 0.000 0.000  0.00
Li: 0.500 0.500 0.000  0.00
Ni: 0.250 0.750 0.500  0.09

---

Which of them is most stable? Easy: a).

---

a) Compound: LiNiBr2
Source: Alexandria
Functional: GGA-PBE
Structure: optimized geometry

space-group type: No. 122

Cell: 5.721 5.721 7.069 Å, 66.13 66.13 90.00°
Each line ends with the local moment (μB).
Sites, in units of the cell vectors:
Ni: 0.000 0.000 0.000  0.87
Ni: 0.750 0.250 0.500  0.87
Br: 0.643 0.125 0.250  0.04
Br: 0.107 0.625 0.250  0.05
Br: 0.375 0.357 0.750  0.04
Br: 0.875 0.893 0.750  0.05
Li: 0.500 0.500 0.000  0.00
Li: 0.250 0.750 0.500  0.00

---

b) Compound: LiNiBr2
Source: Alexandria
Functional: GGA-PBE
Structure: optimized geometry

space-group type: No. 65

Cell: 4.434 4.434 7.098 Å, 90.00 90.00 131.72°
Each line ends with the local moment (μB).
Sites, in units of the cell vectors:
Br: 0.000 0.000 0.988  0.06
Br: 0.000 0.000 0.512  0.06
Li: 0.500 0.500 0.250  0.01
Ni: 0.500 0.500 0.750  0.85

---

c) Compound: LiNiBr2
Source: Alexandria
Functional: GGA-PBE
Structure: optimized geometry

space-group type: No. 123

Cell: 3.781 3.781 5.341 Å, 90.00 90.00 90.00°
Each line ends with the local moment (μB).
Sites, in units of the cell vectors:
Br: 0.000 0.000 0.875  0.07
Br: 0.500 0.500 0.375  0.04
Li: 0.000 0.000 0.375  0.00
Ni: 0.500 0.500 0.874  0.88

---

d) Compound: LiNiBr2
Source: Alexandria
Functional: GGA-PBE
Structure: optimized geometry

space-group type: No. 225

Cell: 4.794 4.794 4.794 Å, 60.00 60.00 60.00°
Each line ends with the local moment (μB).
Sites, in units of the cell vectors:
Ni: 0.500 0.500 0.500  0.89
Br: 0.250 0.250 0.250  0.06
Br: 0.750 0.750 0.750  0.06
Li: 0.000 0.000 0.000  0.00

---

Which of them is most stable? Easy: a).

---

a) Compound: LiNiBr2
Source: Alexandria
Functional: GGA-PBE
Structure: optimized geometry

space-group type: No. 12

Cell: 6.537 5.571 4.424 Å, 58.77 101.94 131.98°
Each line ends with the local moment (μB).
Sites, in units of the cell vectors:
Br: 0.000 0.000 0.000  0.01
Br: 0.500 0.000 0.500  0.01
Li: 0.000 0.500 0.500  0.00
Ni: 0.500 0.500 0.000  0.40

---

b) Compound: LiNiBr2
Source: Alexandria
Functional: GGA-PBE
Structure: optimized geometry

space-group type: No. 166

Cell: 6.517 6.517 6.517 Å, 34.31 34.31 34.31°
Each line ends with the local moment (μB).
Sites, in units of the cell vectors:
Br: 0.995 0.995 0.995  0.05
Br: 0.505 0.505 0.505  0.05
Li: 0.750 0.750 0.750  0.00
Ni: 0.250 0.250 0.250  0.88

---

Which of them is most stable? Easy: b).

---

a) Compound: LiNiBr2
Source: Alexandria
Functional: GGA-PBE
Structure: optimized geometry

space-group type: No. 38

Cell: 5.576 4.306 4.305 Å, 59.80 90.00 90.00°
Each line ends with the local moment (μB).
Sites, in units of the cell vectors:
Br: 0.000 0.792 0.792  0.04
Br: 0.500 0.458 0.458  0.05
Li: 0.000 0.459 0.459  0.00
Ni: 0.500 0.791 0.791  0.88

---

b) Compound: LiNiBr2
Source: Alexandria
Functional: GGA-PBE
Structure: optimized geometry

space-group type: No. 71

Cell: 5.548 5.548 5.548 Å, 141.86 92.77 99.51°
Each line ends with the local moment (μB).
Sites, in units of the cell vectors:
Br: 0.016 0.016 0.000  0.06
Br: 0.484 0.484 0.000  0.06
Li: 0.750 0.250 0.500  0.01
Ni: 0.250 0.750 0.500  0.84

---

c) Compound: LiNiBr2
Source: Alexandria
Functional: GGA-PBE
Structure: optimized geometry

space-group type: No. 216

Cell: 4.954 4.954 4.954 Å, 60.00 60.00 60.00°
Each line ends with the local moment (μB).
Sites, in units of the cell vectors:
Br: 0.000 0.000 0.000  0.08
Br: 0.250 0.250 0.250  0.08
Li: 0.500 0.500 0.500  -0.01
Ni: 0.750 0.750 0.750  0.85

---

Which of them is most stable? Easy: a).

---

a) Compound: LiNiBr2
Source: Alexandria
Functional: GGA-PBE
Structure: optimized geometry

space-group type: No. 10

Cell: 3.559 5.136 7.392 Å, 129.20 90.00 90.00°
Each line ends with the local moment (μB).
Sites, in units of the cell vectors:
Br: 0.000 0.765 0.987  0.07
Br: 0.000 0.735 0.513  0.07
Li: 0.500 0.250 0.250  0.00
Ni: 0.500 0.750 0.750  0.83

---

b) Compound: LiNiBr2
Source: Alexandria
Functional: GGA-PBE
Structure: optimized geometry

space-group type: No. 38

Cell: 7.204 7.204 3.608 Å, 89.96 89.96 28.96°
Each line ends with the local moment (μB).
Sites, in units of the cell vectors:
Br: 0.015 0.015 0.125  0.01
Br: 0.739 0.739 0.625  0.09
Li: 0.552 0.552 0.625  0.00
Ni: 0.195 0.195 0.126  0.88

---

c) Compound: LiNiBr2
Source: Alexandria
Functional: GGA-PBE
Structure: optimized geometry

space-group type: No. 123

Cell: 4.777 4.777 3.344 Å, 90.00 90.00 90.00°
Each line ends with the local moment (μB).
Sites, in units of the cell vectors:
Br: 0.000 0.000 0.000  0.07
Br: 0.500 0.500 0.000  0.07
Li: 0.500 0.000 0.500  0.00
Ni: 0.000 0.500 0.500  0.88

---

d) Compound: LiNiBr2
Source: Alexandria
Functional: GGA-PBE
Structure: optimized geometry

space-group type: No. 47

Cell: 3.552 8.141 3.539 Å, 90.00 90.00 90.00°
Each line ends with the local moment (μB).
Sites, in units of the cell vectors:
Br: 0.000 0.000 0.000  0.00
Br: 0.500 0.500 0.000  0.05
Li: 0.500 0.000 0.500  0.00
Ni: 0.000 0.500 0.500  0.59

---

Which of them is most stable? Easy: b).

---

a) Compound: LiBrO
Source: Alexandria
Functional: GGA-PBE
Structure: optimized geometry

space-group type: No. 51

Cell: 3.794 4.236 6.614 Å, 90.00 90.00 90.00°
Each line ends with the local moment (μB).
Sites, in units of the cell vectors:
Li: 0.000 0.756 0.250  -0.01
Li: 0.000 0.244 0.750  -0.01
Br: 0.500 0.297 0.250  0.51
Br: 0.500 0.703 0.750  0.51
O: 0.000 0.000 0.500  1.11
O: 0.000 0.000 0.000  1.11

---

b) Compound: LiBrO
Source: Alexandria
Functional: GGA-PBE
Structure: optimized geometry

space-group type: No. 40

Cell: 4.712 4.712 7.058 Å, 90.00 90.00 54.99°
Sites, in units of the cell vectors:
Br: 0.928 0.056 0.750
Br: 0.056 0.928 0.250
O: 0.580 0.267 0.250
O: 0.267 0.580 0.750
Li: 0.382 0.382 0.000
Li: 0.382 0.382 0.500

---

Which of them is most stable? Easy: b).

---

a) Compound: LiBr2O
Source: Alexandria
Functional: GGA-PBE
Structure: optimized geometry

space-group type: No. 166

Cell: 7.318 7.318 7.318 Å, 32.17 32.17 32.17°
Each line ends with the local moment (μB).
Sites, in units of the cell vectors:
O: 0.000 0.000 0.000  0.53
Br: 0.900 0.900 0.900  0.13
Br: 0.100 0.100 0.100  0.13
Li: 0.500 0.500 0.500  0.00

---

b) Compound: LiBr2O
Source: Alexandria
Functional: GGA-PBE
Structure: optimized geometry

space-group type: No. 122

Cell: 5.358 5.358 7.632 Å, 69.45 69.45 90.00°
Sites, in units of the cell vectors:
O: 0.000 0.000 0.000
O: 0.750 0.250 0.500
Br: 0.700 0.125 0.250
Br: 0.050 0.625 0.250
Br: 0.375 0.300 0.750
Br: 0.875 0.950 0.750
Li: 0.500 0.500 0.000
Li: 0.250 0.750 0.500

---

c) Compound: LiBr2O
Source: Alexandria
Functional: GGA-PBE
Structure: optimized geometry

space-group type: No. 225

Cell: 4.853 4.853 4.853 Å, 60.00 60.00 60.00°
Each line ends with the local moment (μB).
Sites, in units of the cell vectors:
O: 0.500 0.500 0.500  1.45
Br: 0.250 0.250 0.250  0.50
Br: 0.750 0.750 0.750  0.50
Li: 0.000 0.000 0.000  0.00

---

Which of them is most stable? Easy: a).

---

a) Compound: LiPBrO2
Source: Alexandria
Functional: GGA-PBE
Structure: optimized geometry

space-group type: No. 123

Cell: 3.984 3.984 5.004 Å, 90.00 90.00 90.00°
Each line ends with the local moment (μB).
Sites, in units of the cell vectors:
P: 0.000 0.000 0.500  0.48
O: 0.000 0.500 0.000  0.10
O: 0.500 0.000 0.000  0.10
Br: 0.000 0.000 0.000  -0.01
Li: 0.500 0.500 0.500  0.02

---

b) Compound: LiPBrO2
Source: Alexandria
Functional: GGA-PBE
Structure: optimized geometry

space-group type: No. 123

Cell: 3.750 3.750 5.694 Å, 90.00 90.00 90.00°
Each line ends with the local moment (μB).
Sites, in units of the cell vectors:
P: 0.000 0.000 0.500  0.28
O: 0.000 0.500 0.000  1.13
O: 0.500 0.000 0.000  1.13
Br: 0.500 0.500 0.500  0.01
Li: 0.000 0.000 0.000  -0.02

---

Which of them is most stable? Easy: b).

---

a) Compound: LiPr2Br2O4
Source: Alexandria
Functional: GGA-PBE
Structure: optimized geometry

space-group type: No. 6

Cell: 4.258 6.223 7.155 Å, 65.87 90.00 90.00°
Each line ends with the local moment (μB).
Sites, in units of the cell vectors:
Li: 0.500 0.611 0.831  0.00
Pr: 0.500 0.185 0.620  0.03
Pr: 0.000 0.766 0.369  -0.02
Br: 0.500 0.186 0.060  0.00
Br: 0.000 0.769 0.934  0.01
O: 0.500 0.847 0.553  0.31
O: 0.000 0.319 0.451  0.03
O: 0.500 0.602 0.390  0.46
O: 0.000 0.364 0.643  0.01

---

b) Compound: LiPr2Br2O4
Source: Alexandria
Functional: GGA-PBE
Structure: optimized geometry

space-group type: No. 1

Cell: 4.352 6.520 7.303 Å, 112.01 92.95 99.66°
Each line ends with the local moment (μB).
Sites, in units of the cell vectors:
Li: 0.866 0.619 0.203  0.00
Pr: 0.756 0.196 0.368  -0.01
Pr: 0.201 0.924 0.669  -0.03
Br: 0.686 0.796 0.954  0.00
Br: 0.290 0.337 0.082  0.03
O: 0.925 0.581 0.450  0.33
O: 0.280 0.229 0.534  0.10
O: 0.718 0.993 0.586  0.33
O: 0.207 0.013 0.356  0.09

---

Which of them is most stable? Easy: b).